Record 1
The following is a DFT calculation (PBE-GGA) of Ir2Ru2Rh7 after structural relaxation. Values from VASP.

Geometry as Quantum ESPRESSO input:
```
&SYSTEM
  ibrav = 0, nat = 11, ntyp = 3
/
ATOMIC_SPECIES
Ir 192.22 Ir.upf
Ru 101.07 Ru.upf
Rh 102.91 Rh.upf
CELL_PARAMETERS angstrom
4.727 -4.054 0.000
4.727 4.054 0.000
-1.557 0.000 4.432
ATOMIC_POSITIONS angstrom
Ir 4.727 2.271 0.000
Ir 4.727 -2.271 0.000
Ru 1.922 0.000 4.010
Ru 5.975 0.000 0.422
Rh 2.358 1.761 1.229
Rh 0.401 0.000 1.812
Rh 5.539 1.761 3.203
Rh 3.949 0.000 2.216
Rh 2.358 -1.761 1.229
Rh 7.496 0.000 2.620
Rh 5.539 -1.761 3.203
```

Summary:
Symmetry   C2/m
Distance to the lowest polymorph of the same formula   229 meV per atom

=====

Record 2
The following is a DFT calculation (PBE-GGA) of CaAlCr after structural relaxation. Values from VASP.

Geometry as Quantum ESPRESSO input:
```
&SYSTEM
  ibrav = 0, nat = 6, ntyp = 3
/
ATOMIC_SPECIES
Ca 40.08 Ca.upf
Al 26.98 Al.upf
Cr 52.00 Cr.upf
CELL_PARAMETERS angstrom
3.337 0.000 0.000
0.000 3.337 0.000
0.000 0.000 11.415
ATOMIC_POSITIONS angstrom
Ca 0.000 0.000 0.000
Ca 1.668 1.668 5.708
Al 0.000 0.000 7.973
Al 1.668 1.668 2.265
Cr 0.000 0.000 3.455
Cr 1.668 1.668 9.163
```

Summary:
Symmetry   I4mm

=====

Record 3
The following is a DFT calculation (PBE-GGA) of MoPIr2 after structural relaxation. Values from VASP.

Geometry as Quantum ESPRESSO input:
```
&SYSTEM
  ibrav = 0, nat = 4, ntyp = 3
/
ATOMIC_SPECIES
Mo 95.94 Mo.upf
P 30.97 P.upf
Ir 192.22 Ir.upf
CELL_PARAMETERS angstrom
2.819 0.000 0.000
0.000 4.522 0.000
0.000 0.000 4.544
ATOMIC_POSITIONS angstrom
Mo 0.000 0.000 0.000
P 1.410 0.000 2.272
Ir 0.000 2.261 2.272
Ir 1.410 2.261 0.000
```

Summary:
Symmetry   Pmmm

=====

Record 4
The following is a DFT calculation (PBE-GGA) of TbPr2Y6 after structural relaxation. Values from VASP.

Geometry as Quantum ESPRESSO input:
```
&SYSTEM
  ibrav = 0, nat = 18, ntyp = 3
/
ATOMIC_SPECIES
Tb 158.93 Tb.upf
Pr 140.91 Pr.upf
Y 88.91 Y.upf
CELL_PARAMETERS angstrom
6.482 -7.193 0.000
6.482 7.193 0.000
-1.530 0.000 6.450
ATOMIC_POSITIONS angstrom
Tb 5.335 5.504 4.837
Tb 6.100 -5.504 1.612
Pr 3.691 0.371 4.037
Pr 4.456 -0.371 0.812
Pr 6.979 0.371 5.638
Pr 7.744 -0.371 2.413
Y 0.482 1.265 5.242
Y 2.943 2.884 1.743
Y 1.247 -1.265 2.017
Y 4.503 2.722 6.426
Y 6.167 2.722 3.249
Y 2.178 -2.884 4.968
Y 9.256 2.884 1.482
Y 5.268 -2.722 3.201
Y 6.932 -2.722 0.024
Y 10.188 1.265 4.433
Y 8.491 -2.884 4.707
Y 10.953 -1.265 1.208
```

Summary:
Symmetry   C2/c
Distance to the lowest polymorph of the same formula   8 meV per atom

=====

Record 5
The following is a DFT calculation (PBE-GGA) of ScSbMoI2 after structural relaxation. Values from VASP.

Geometry as Quantum ESPRESSO input:
```
&SYSTEM
  ibrav = 0, nat = 5, ntyp = 4
/
ATOMIC_SPECIES
Sc 44.96 Sc.upf
Sb 121.76 Sb.upf
Mo 95.94 Mo.upf
I 126.90 I.upf
CELL_PARAMETERS angstrom
5.498 0.000 0.000
0.000 5.498 0.000
0.000 0.000 5.395
ATOMIC_POSITIONS angstrom
Sc 0.000 0.000 0.000
Sb 2.749 2.749 0.000
Mo 2.749 2.749 2.697
I 0.000 2.749 2.697
I 2.749 0.000 2.697
```

Summary:
Symmetry   P4/mmm
Distance to the lowest polymorph of the same formula   0 meV per atom
E_form (uncorrected)   54.1 kJ/mol of atoms

=====

Record 6
The following is a DFT calculation (PBE-GGA) of LaYZnPd after structural relaxation. Values from VASP.

Geometry as Quantum ESPRESSO input:
```
&SYSTEM
  ibrav = 0, nat = 8, ntyp = 4
/
ATOMIC_SPECIES
La 138.91 La.upf
Y 88.91 Y.upf
Zn 65.41 Zn.upf
Pd 106.42 Pd.upf
CELL_PARAMETERS angstrom
4.626 0.000 0.000
0.000 3.964 0.000
0.000 0.000 10.898
ATOMIC_POSITIONS angstrom
La 0.000 0.000 0.000
La 0.000 1.982 5.449
Y 2.313 0.000 3.080
Y 2.313 1.982 8.529
Zn 2.313 0.000 6.244
Zn 2.313 1.982 0.795
Pd 0.000 0.000 7.827
Pd 0.000 1.982 2.378
```

Summary:
Symmetry   Amm2
Distance to the lowest polymorph of the same formula   0 meV per atom

=====

Record 7
The following is a DFT calculation (PBE-GGA) of FeHgW2 after structural relaxation. Values from VASP.

Geometry as Quantum ESPRESSO input:
```
&SYSTEM
  ibrav = 0, nat = 8, ntyp = 3
/
ATOMIC_SPECIES
Fe 55.84 Fe.upf
Hg 200.59 Hg.upf
W 183.84 W.upf
CELL_PARAMETERS angstrom
3.233 0.000 0.000
0.000 4.360 0.000
0.000 0.000 9.091
ATOMIC_POSITIONS angstrom
Fe 0.000 0.000 0.000
Fe 1.617 2.180 4.546
Hg 0.000 0.000 4.546
Hg 1.617 2.180 0.000
W 0.000 2.180 2.428
W 0.000 2.180 6.663
W 1.617 0.000 2.117
W 1.617 0.000 6.974
```

Summary:
Symmetry   Immm

=====

Record 8
The following is a DFT calculation (PBE-GGA) of PmYTe2O after structural relaxation. Values from VASP.

Geometry as Quantum ESPRESSO input:
```
&SYSTEM
  ibrav = 0, nat = 10, ntyp = 4
/
ATOMIC_SPECIES
Pm 145.00 Pm.upf
Y 88.91 Y.upf
Te 127.60 Te.upf
O 16.00 O.upf
CELL_PARAMETERS angstrom
4.200 0.000 0.000
0.000 4.200 0.000
0.000 0.000 15.796
ATOMIC_POSITIONS angstrom
Pm 1.050 1.050 1.089
Pm 3.150 3.150 14.707
Y 1.050 1.050 9.959
Y 3.150 3.150 5.837
Te 1.050 1.050 6.574
Te 1.050 1.050 12.822
Te 3.150 3.150 2.974
Te 3.150 3.150 9.222
O 1.050 3.150 0.000
O 3.150 1.050 0.000
```

Summary:
Symmetry   P4/nmm
E_form (uncorrected)   -200.2 kJ/mol of atoms

=====

Number 1: energy -7.59 eV per atom. Number 2: energy -4.90 eV per atom. Number 3: energy -8.46 eV per atom. Number 4: energy -5.78 eV per atom. Number 5: energy -4.32 eV per atom. Number 6: energy -5.02 eV per atom. Number 7: energy -8.10 eV per atom. Number 8: energy -6.57 eV per atom.